(1)
Here is a geometry-optimized LaTeCl structure from Alexandria via LeMat-Bulk. Energies are from PBE.

a b c (Å): 5.9103 5.9103 5.9103
angles (deg): 139.88 139.88 58.03
With the nearest neighbours (Å) after each atom.
Fractional positions:
La 0.0000 0.0000 0.0000  4 Cl 3.23, 5 Te 3.33-3.47
Te 0.3361 0.3361 0.0000  5 Cl 3.18-3.49, 5 La 3.33-3.47
Cl 0.6438 0.6438 0.0000  5 Te 3.18-3.49, 4 La 3.23

The calculation puts the total magnetization at 0.00 μB/f.u. The density of states at the Fermi level is 0.72 states/eV/f.u. Its space group is I4mm, No. 107. The value obtained for the offset from the most stable computed form is 93 kJ/mol of formula units.

***

(2)
Here is a geometry-optimized Re2OsSe structure from Alexandria via LeMat-Bulk. Energies are from PBE.

a b c (Å): 4.4264 4.4264 4.4264
angles (deg): 120.09 120.09 89.85
With the nearest neighbours (Å) after each atom.
Fractional positions:
Re 0.0000 0.0000 0.0000  4 Se 2.71, 4 Re 2.71
Re 0.7500 0.2500 0.5000  4 Os 2.71, 4 Re 2.71
Os 0.5000 0.5000 0.0000  4 Se 2.71, 4 Re 2.71
Se 0.2500 0.7500 0.5000  4 Os 2.71, 4 Re 2.71

The calculation puts the raw total energy at -9.08 eV per atom. The calculation puts the total magnetization at 0.00 μB/f.u. The density of states at the Fermi level is 4.18 states/eV/f.u. Its space group is I-4m2, No. 119.

***

(3)
Here is a geometry-optimized CoIrOs2 structure from Alexandria via LeMat-Bulk. Energies are from PBE.

a b c (Å): 4.6252 4.6252 4.6319
angles (deg): 99.37 99.37 33.77
With the nearest neighbours (Å) after each atom.
Fractional positions:
Co 0.0000 0.0000 0.0000  3 Ir 2.63-2.69, 7 Os 2.65-2.71, 2 Co 2.69
Ir 0.7526 0.7526 0.2452  3 Co 2.63-2.69, 7 Os 2.64-2.72, 2 Ir 2.69
Os 0.2517 0.2517 0.7545  4 Ir 2.64-2.72, 5 Os 2.66-2.69, 3 Co 2.66-2.67
Os 0.5016 0.5016 0.5084  4 Co 2.65-2.71, 5 Os 2.66-2.69, 3 Ir 2.69-2.71

The calculation puts the total magnetization at 0.55 μB/f.u. The density of states at the Fermi level is 4.17 states/eV/f.u. Its space group is Cm, No. 8. The value obtained for the offset from the most stable computed form is 6 kJ/mol of formula units.

***

(4)
Here is a geometry-optimized MnGeB structure from Alexandria via LeMat-Bulk. Energies are from PBE.

a b c (Å): 3.2466 3.2466 7.1602
angles (deg): 99.13 99.13 88.45
With the nearest neighbours (Å) after each atom.
Fractional positions:
Mn 0.2102 0.2102 0.3963  1 B 1.97
Mn 0.7898 0.7898 0.6037  1 B 1.97
Ge 0.3460 0.3460 0.7637  3 B 2.23-2.43
Ge 0.6540 0.6540 0.2363  3 B 2.23-2.43
B 0.0569 0.0569 0.1164  1 B 1.63
B 0.9431 0.9431 0.8836  1 B 1.63

The calculation puts the raw total energy at -6.48 eV per atom. The calculation puts the total magnetization at 2.01 μB/f.u. The density of states at the Fermi level is 1.59 states/eV/f.u. Its space group is C2/m, No. 12.

***

(5)
Here is a geometry-optimized RbHg2Se2 structure from Alexandria via LeMat-Bulk. Energies are from PBE.

a b c (Å): 9.1273 9.1273 4.2982
angles (deg): 90.00 90.00 90.00
With the nearest neighbours (Å) after each atom.
Fractional positions:
Rb 0.0000 0.0000 0.0000  4 Hg 3.72, 8 Se 3.89
Rb 0.5000 0.5000 0.0000  4 Hg 3.72, 8 Se 3.89
Hg 0.1071 0.3929 0.0000  2 Se 2.62, 1 Hg 2.76
Hg 0.3929 0.8929 0.0000  2 Se 2.62, 1 Hg 2.76
Hg 0.6071 0.1071 0.0000  2 Se 2.62, 1 Hg 2.76
Hg 0.8929 0.6071 0.0000  2 Se 2.62, 1 Hg 2.76
Se 0.2227 0.2773 0.5000  2 Hg 2.62
Se 0.2773 0.7773 0.5000  2 Hg 2.62
Se 0.7227 0.2227 0.5000  2 Hg 2.62
Se 0.7773 0.7227 0.5000  2 Hg 2.62

The calculation puts the total magnetization at 0.00 μB/f.u. The density of states at the Fermi level is 1.77 states/eV/f.u. Its space group is P4/mbm, No. 127. The value obtained for the offset from the most stable computed form is 61 kJ/mol of formula units.

***

(6)
Here is a geometry-optimized AcNiSe structure from Alexandria via LeMat-Bulk. Energies are from PBE.

a b c (Å): 4.1973 4.1973 4.4017
angles (deg): 90.00 90.00 120.00
With the nearest neighbours (Å) after each atom.
Fractional positions:
Ac 0.0000 0.0000 0.0000  6 Ni 3.27, 6 Se 3.27
Ni 0.3333 0.6667 0.5000  3 Se 2.42
Se 0.6667 0.3333 0.5000  3 Ni 2.42

The calculation puts the raw total energy at -5.47 eV per atom. The calculation puts the total magnetization at 0.00 μB/f.u. The density of states at the Fermi level is 2.34 states/eV/f.u. Its space group is P-6m2, No. 187.

***

(7)
Here is a geometry-optimized Sr2YZr structure from Alexandria via LeMat-Bulk. Energies are from PBE.

a b c (Å): 3.9028 5.9230 6.2213
angles (deg): 90.00 90.00 90.00
With the nearest neighbours (Å) after each atom.
Fractional positions:
Sr 0.0000 0.0000 0.0000  6 Sr 3.55-3.90, 4 Zr 3.67
Sr 0.5000 0.5000 0.0000  6 Sr 3.55-3.90, 4 Y 3.67
Y 0.0000 0.5000 0.5000  4 Zr 3.55, 4 Sr 3.67, 2 Y 3.90
Zr 0.5000 0.0000 0.5000  4 Y 3.55, 4 Sr 3.67, 2 Zr 3.90

The calculation puts the total magnetization at 1.79 μB/f.u. The density of states at the Fermi level is 6.09 states/eV/f.u. Its space group is Pmmm, No. 47. The value obtained for the offset from the most stable computed form is 96 kJ/mol of formula units.

***

(8)
Here is a geometry-optimized CePrS structure from Alexandria via LeMat-Bulk. Energies are from PBE.

a b c (Å): 3.9405 3.9405 6.5949
angles (deg): 90.00 90.00 120.00
With the nearest neighbours (Å) after each atom.
Fractional positions:
Ce 0.0000 0.0000 0.0000  3 S 2.82
Pr 0.3333 0.6667 0.5164  3 S 2.87
S 0.6667 0.3333 0.2523  3 Ce 2.82, 3 Pr 2.87

The calculation puts the total magnetization at 2.03 μB/f.u. The density of states at the Fermi level is 7.31 states/eV/f.u. Its space group is P3m1, No. 156. The value obtained for the offset from the most stable computed form is 0 kJ/mol of formula units.